The following is a GGA-PBE calculation of CdCoCl after structural relaxation, from the Alexandria database.

Structure (POSCAR):
```
CdCoCl
1.0
-2.687 1.930 -0.340
-0.318 -3.106 1.146
0.741 2.040 5.732
Cl Cd Co
1 1 1
Direct
0.333 0.667 0.420
0.000 0.000 0.947
0.667 0.333 0.633
```

Fermi-level density of states (states/eV per cell): 0.9
Energy relative to the elements, uncorrected (eV/atom): -0.014
Magnetization (μB per cell): 1.99